[1]
The following is a PBE-GGA calculation of a geometry-optimized BaSiRh structure, from the Alexandria database.

## Properties
SG: P-6m2 (187)
Energy relative to the elements, uncorrected in meV per atom: -571
Total moment in μB/f.u.: 0.0

Unit cell a=5.1591 b=4.1285 c=4.1285 alpha=120.00 beta=90.00 gamma=90.00
Closest atoms and distances in Å follow each position.
Positions (direct):
Si1 0.1666 0.0000 0.0000  3 Rh 2.38
Rh1 0.1667 0.3333 0.6667  3 Si 2.38
Ba1 0.6667 0.6667 0.3333  6 Rh 3.51, 6 Si 3.51


[2]
The following is a PBE-GGA calculation of a geometry-optimized KLi2Al structure, from the Alexandria database.

## Properties
SG: I-4m2 (119)
Energy relative to the elements in meV/atom: 278
Total moment in μB/f.u.: 0.0

Unit cell a=6.0251 b=6.0251 c=6.0251 alpha=135.22 beta=135.22 gamma=65.18
Closest atoms and distances in Å follow each position.
Positions (direct):
Al1 0.5000 0.5000 0.0000  8 Li 3.25-3.42, 4 K 3.42
K1 0.7500 0.2500 0.5000  8 Li 3.25-3.42, 4 Al 3.42
Li1 0.0000 0.0000 0.0000  4 Al 3.25, 4 K 3.42, 4 Li 3.42
Li2 0.2500 0.7500 0.5000  4 K 3.25, 4 Li 3.42, 4 Al 3.42


[3]
The following is a PBE-GGA calculation of a geometry-optimized SrHg2Au2 structure, from the Alexandria database.

## Properties
SG: P4/mbm (127)
Energy relative to the elements in meV/atom: -281
Total moment in μB/f.u.: 0.0

Unit cell a=7.9232 b=7.9232 c=4.0322 alpha=90.00 beta=90.00 gamma=90.00
Closest atoms and distances in Å follow each position.
Positions (direct):
Sr1 0.0000 0.0000 0.0000  4 Au 3.13
Sr2 0.5000 0.5000 0.0000  4 Au 3.13
Au1 0.3751 0.8751 0.0000  1 Au 2.80, 6 Hg 3.04-3.12, 2 Sr 3.13
Au2 0.8751 0.6249 0.0000  1 Au 2.80, 6 Hg 3.04-3.12, 2 Sr 3.13
Au3 0.6249 0.1249 0.0000  1 Au 2.80, 6 Hg 3.04-3.12, 2 Sr 3.13
Au4 0.1249 0.3751 0.0000  1 Au 2.80, 6 Hg 3.04-3.12, 2 Sr 3.13
Hg1 0.1726 0.6726 0.5000  6 Au 3.04-3.12
Hg2 0.6726 0.8274 0.5000  6 Au 3.04-3.12
Hg3 0.8274 0.3274 0.5000  6 Au 3.04-3.12
Hg4 0.3274 0.1726 0.5000  6 Au 3.04-3.12


[4]
The following is a PBE-GGA calculation of a geometry-optimized Mg2TlFe structure, from the Alexandria database.

## Properties
SG: I-42d (122)
Energy relative to the elements in meV/atom: 500
Total moment in μB/f.u.: 2.8

Unit cell a=4.1463 b=4.1463 c=10.4650 alpha=78.57 beta=78.57 gamma=90.00
Closest atoms and distances in Å follow each position.
Positions (direct):
Mg1 0.6100 0.1250 0.2500  4 Mg 2.85-3.02, 2 Fe 2.89, 2 Tl 2.93
Mg2 0.1400 0.6250 0.2500  4 Mg 2.85-3.02, 2 Fe 2.89, 2 Tl 2.93
Mg3 0.3750 0.3900 0.7500  4 Mg 2.85-3.02, 2 Fe 2.89, 2 Tl 2.93
Mg4 0.8750 0.8600 0.7500  4 Mg 2.85-3.02, 2 Fe 2.89, 2 Tl 2.93
Tl1 0.0000 0.0000 0.0000  4 Mg 2.93, 4 Fe 2.93
Tl2 0.7500 0.2500 0.5000  4 Mg 2.93, 4 Fe 2.93
Fe1 0.5000 0.5000 0.0000  4 Mg 2.89, 4 Tl 2.93
Fe2 0.2500 0.7500 0.5000  4 Mg 2.89, 4 Tl 2.93


[5]
The following is a PBE-GGA calculation of a geometry-optimized Zr3Ti2Al4 structure, from the Alexandria database.

## Properties
SG: C2/m (12)
Energy relative to the elements in meV/atom: -343
Total moment in μB/f.u.: 0.0

Unit cell a=4.5016 b=5.6355 c=8.5515 alpha=118.61 beta=90.00 gamma=113.54
Closest atoms and distances in Å follow each position.
Positions (direct):
Zr1 0.6573 0.3147 0.6750  7 Al 2.93-3.09, 4 Ti 3.03-3.15, 2 Zr 3.06-3.16
Zr2 0.0000 0.0000 0.0000  8 Al 2.98-3.25, 2 Zr 3.16, 4 Ti 3.20
Zr3 0.3427 0.6853 0.3250  7 Al 2.93-3.09, 4 Ti 3.03-3.15, 2 Zr 3.06-3.16
Ti1 0.6411 0.2822 0.3110  4 Al 2.63-2.85
Ti2 0.3589 0.7178 0.6890  4 Al 2.63-2.85
Al1 0.7060 0.4119 0.0445  2 Al 2.68, 1 Ti 2.69, 3 Zr 2.93-2.98
Al2 0.2940 0.5881 0.9555  2 Al 2.68, 1 Ti 2.69, 3 Zr 2.93-2.98
Al3 0.9464 0.8928 0.6129  3 Ti 2.63-2.85, 1 Al 2.68
Al4 0.0536 0.1072 0.3871  3 Ti 2.63-2.85, 1 Al 2.68


[6]
The following is a PBE-GGA calculation of a geometry-optimized GeI2NCl structure, from the Alexandria database.

## Properties
SG: P4/mmm (123)
Energy relative to the elements, uncorrected in meV per atom: 626
Total moment in μB/f.u.: 0.0

Unit cell a=6.2358 b=6.2358 c=3.3810 alpha=90.00 beta=90.00 gamma=90.00
Closest atoms and distances in Å follow each position.
Positions (direct):
I1 0.0000 0.5000 0.0000  2 Ge 3.12, 2 I 3.38
I2 0.5000 0.0000 0.0000  2 Ge 3.12, 2 I 3.38
Ge1 0.0000 0.0000 0.0000  2 N 1.69
N1 0.0000 0.0000 0.5000  2 Ge 1.69
Cl1 0.5000 0.5000 0.5000  2 Cl 3.38, 8 I 3.55


no.,calculated density (g cm⁻³)
1,5.85
2,1.24
3,11.58
4,5.94
5,4.67
6,4.75